The following is a PBE calculation of MnZn2Ni6 after structural relaxation, from the Alexandria database.

Cell lengths 7.5577, 5.7869, 5.5115 Å; angles 83.93, 49.59, 46.48 degrees
Fractional coordinates of all 9 atoms:
Mn 0.0000 0.0000 0.0000
Zn 0.3325 0.3325 0.6675
Zn 0.6675 0.6675 0.3325
Ni 0.0050 0.6647 0.3353
Ni 0.3321 0.6679 0.3321
Ni 0.3353 0.9950 0.0050
Ni 0.6647 0.0050 0.9950
Ni 0.6679 0.3321 0.6679
Ni 0.9950 0.3353 0.6647

Properties
E above lowest polymorph ... 0.00 eV/f.u.
Energy relative to the elements ... -0.107 eV/atom